DFT (PBE+U) results for Te2W2O after structural relaxation.

Cell: 5.8601 5.8601 5.9383 Å, 90.00 90.00 90.00°
Sites, in units of the cell vectors:
Te1 0.1786 0.3214 0.0000
Te2 0.3214 0.8214 0.0000
Te3 0.6786 0.1786 0.0000
Te4 0.8214 0.6786 0.0000
W1 0.1607 0.3393 0.5000
W2 0.3393 0.8393 0.5000
W3 0.6607 0.1607 0.5000
W4 0.8393 0.6607 0.5000
O1 0.0000 0.0000 0.5000
O2 0.5000 0.5000 0.5000

N(E_F)   1.8 states/eV/f.u.
Raw total energy   -48.10 eV per cell